# 1
Here is Sm2ErTl3 after structural relaxation from Alexandria via LeMat-Bulk. Energies are from PBE.

Properties
Formation energy from the elements in eV/atom: -0.362
V in Å³ per atom: 28.1
Energy relative to the lowest polymorph listed for this composition in eV/atom: 0.000

Cell: 3.792 3.792 11.734 Å, 90.00 90.00 90.00°
Element x y z (fractional)
Sm  0.000  0.000  0.171
Sm  0.000  0.000  0.829
Er  0.000  0.000  0.500
Tl  0.500  0.500  0.000
Tl  0.500  0.500  0.342
Tl  0.500  0.500  0.658

***

# 2
Here is HfZrNiPb2 after structural relaxation from Alexandria via LeMat-Bulk. Energies are from PBE.

Properties
Formation energy from the elements in eV/atom: 1.026
V in Å³ per atom: 26.2

Cell: 5.407 5.407 4.479 Å, 90.00 90.00 90.00°
Element x y z (fractional)
Hf  0.000  0.000  0.000
Zr  0.500  0.500  0.500
Ni  0.500  0.500  0.000
Pb  0.000  0.500  0.500
Pb  0.500  0.000  0.500

***

# 3
Here is Co2W after structural relaxation from Alexandria via LeMat-Bulk. Energies are from PBE.

Properties
Formation energy from the elements in eV/atom: 1.048
V in Å³ per atom: 14.9

Cell: 5.638 5.638 5.638 Å, 90.00 90.00 90.00°
Element x y z (fractional)
Co  0.117  0.117  0.117
Co  0.117  0.383  0.617
Co  0.383  0.617  0.117
Co  0.383  0.883  0.617
Co  0.617  0.117  0.383
Co  0.617  0.383  0.883
Co  0.883  0.617  0.383
Co  0.883  0.883  0.883
W  0.000  0.000  0.500
W  0.000  0.500  0.000
W  0.500  0.000  0.000
W  0.500  0.500  0.500

***

# 4
Here is Li3YEr2Se6 after structural relaxation from Alexandria via LeMat-Bulk. Energies are from PBE.

Properties
V in Å³ per atom: 23.0
E_form (uncorrected) in eV per formula unit: -20.4

Cell: 7.013 7.013 6.901 Å, 99.75 99.75 120.00°
Element x y z (fractional)
Li  0.000  0.000  0.000
Li  0.333  0.667  0.000
Li  0.667  0.333  0.000
Y  0.500  0.500  0.500
Er  0.167  0.833  0.500
Er  0.833  0.167  0.500
Se  0.080  0.416  0.248
Se  0.248  0.248  0.752
Se  0.416  0.080  0.248
Se  0.584  0.920  0.752
Se  0.752  0.752  0.248
Se  0.920  0.584  0.752

***

# 5
Here is PaAlGe2O8 after structural relaxation from Alexandria via LeMat-Bulk. Energies are from PBE.

Properties
V in Å³ per atom: 12.9
E_form (uncorrected) in eV per formula unit: -26.6

Cell: 5.375 5.375 6.202 Å, 90.00 90.00 120.00°
Element x y z (fractional)
Pa  0.000  0.000  0.000
Al  0.000  0.000  0.500
Ge  0.333  0.667  0.219
Ge  0.667  0.333  0.781
O  0.151  0.303  0.297
O  0.151  0.849  0.297
O  0.303  0.151  0.703
O  0.333  0.667  0.941
O  0.667  0.333  0.059
O  0.697  0.849  0.297
O  0.849  0.151  0.703
O  0.849  0.697  0.703

***

# 6
Here is LaMgAl2 after structural relaxation from Alexandria via LeMat-Bulk. Energies are from PBE.

Properties
Formation energy from the elements in eV/atom: 0.038
V in Å³ per atom: 23.2

Cell: 10.493 10.493 10.493 Å, 17.66 17.66 17.66°
Element x y z (fractional)
La  0.000  0.000  0.000
Mg  0.500  0.500  0.500
Al  0.243  0.243  0.243
Al  0.757  0.757  0.757

***

# 7
Here is Ca2TaSb after structural relaxation from Alexandria via LeMat-Bulk. Energies are from PBE.

Properties
V in Å³ per atom: 25.3
E_form (uncorrected) in eV per formula unit: 0.9

Cell: 5.910 5.910 3.219 Å, 90.15 90.15 115.73°
Element x y z (fractional)
Ca  0.000  0.500  0.000
Ca  0.500  0.000  0.000
Ta  0.000  0.000  0.500
Sb  0.500  0.500  0.500

***

# 8
Here is Sr2Ga7Pd12 after structural relaxation from Alexandria via LeMat-Bulk. Energies are from PBE.

Properties
Formation energy from the elements in eV/atom: -0.683
V in Å³ per atom: 17.5

Cell: 10.159 10.159 4.103 Å, 90.00 90.00 120.00°
Element x y z (fractional)
Sr  0.000  0.000  0.000
Sr  0.333  0.667  0.500
Ga  0.045  0.450  0.000
Ga  0.269  0.243  0.500
Ga  0.406  0.955  0.000
Ga  0.550  0.594  0.000
Ga  0.667  0.333  0.000
Ga  0.757  0.026  0.500
Ga  0.974  0.731  0.500
Pd  0.035  0.276  0.500
Pd  0.127  0.734  0.000
Pd  0.242  0.965  0.500
Pd  0.266  0.393  0.000
Pd  0.385  0.190  0.000
Pd  0.556  0.426  0.500
Pd  0.574  0.130  0.500
Pd  0.607  0.873  0.000
Pd  0.724  0.758  0.500
Pd  0.805  0.615  0.000
Pd  0.810  0.195  0.000
Pd  0.870  0.444  0.500

***

# 9
Here is Sm2Dy12Y5 after structural relaxation from Alexandria via LeMat-Bulk. Energies are from PBE.

Properties
Formation energy from the elements in eV/atom: 0.020
V in Å³ per atom: 31.9
Energy relative to the lowest polymorph listed for this composition in eV/atom: 0.000

Cell: 6.164 9.425 10.672 Å, 100.98 95.50 90.09°
Element x y z (fractional)
Sm  0.080  0.316  0.473
Sm  0.920  0.684  0.527
Dy  0.025  0.105  0.157
Dy  0.132  0.526  0.790
Dy  0.183  0.737  0.105
Dy  0.290  0.159  0.738
Dy  0.395  0.580  0.368
Dy  0.447  0.790  0.685
Dy  0.553  0.210  0.315
Dy  0.605  0.420  0.632
Dy  0.710  0.841  0.262
Dy  0.817  0.263  0.895
Dy  0.868  0.474  0.210
Dy  0.975  0.895  0.843
Y  0.237  0.947  0.420
Y  0.341  0.369  0.053
Y  0.500  0.000  0.000
Y  0.659  0.631  0.947
Y  0.763  0.053  0.580

***

# 10
Here is Zn4Br after structural relaxation from Alexandria via LeMat-Bulk. Energies are from PBE.

Properties
V in Å³ per atom: 38.8
E_form (uncorrected) in eV per formula unit: 3.5

Cell: 5.790 5.790 5.790 Å, 90.00 90.00 90.00°
Element x y z (fractional)
Zn  0.000  0.000  0.000
Zn  0.000  0.500  0.500
Zn  0.500  0.000  0.500
Zn  0.500  0.500  0.000
Br  0.500  0.500  0.500

***

# 11
Here is NbMoRu2I after structural relaxation from Alexandria via LeMat-Bulk. Energies are from PBE.

Properties
V in Å³ per atom: 21.4
E_form (uncorrected) in eV per formula unit: 9.8

Cell: 4.698 4.698 4.836 Å, 90.00 90.00 90.00°
Element x y z (fractional)
Nb  0.000  0.000  0.000
Mo  0.500  0.500  0.000
Ru  0.000  0.500  0.500
Ru  0.500  0.000  0.500
I  0.500  0.500  0.500

***

# 12
Here is Cs2MgCdI6 after structural relaxation from Alexandria via LeMat-Bulk. Energies are from PBE.

Properties
V in Å³ per atom: 42.7
E_form (uncorrected) in eV per formula unit: -10.6
Energy relative to the lowest polymorph listed for this composition in eV/atom: 0.028

Cell: 8.455 8.455 8.455 Å, 60.00 60.00 60.00°
Element x y z (fractional)
Cs  0.250  0.250  0.250
Cs  0.750  0.750  0.750
Mg  0.000  0.000  0.000
Cd  0.500  0.500  0.500
I  0.247  0.247  0.753
I  0.247  0.753  0.247
I  0.247  0.753  0.753
I  0.753  0.247  0.247
I  0.753  0.247  0.753
I  0.753  0.753  0.247

***

# 13
Here is Lu2VAg after structural relaxation from Alexandria via LeMat-Bulk. Energies are from PBE.

Properties
Formation energy from the elements in eV/atom: -0.010
V in Å³ per atom: 22.1
Energy relative to the lowest polymorph listed for this composition in eV/atom: 0.000

Cell: 3.568 3.568 6.941 Å, 90.00 90.00 90.00°
Element x y z (fractional)
Lu  0.000  0.000  0.241
Lu  0.000  0.000  0.759
V  0.500  0.500  0.000
Ag  0.500  0.500  0.500

***

# 14
Here is NaPmDy2 after structural relaxation from Alexandria via LeMat-Bulk. Energies are from PBE.

Properties
Formation energy from the elements in eV/atom: 0.145
V in Å³ per atom: 33.5
Energy relative to the lowest polymorph listed for this composition in eV/atom: 0.000

Cell: 3.565 3.565 10.546 Å, 90.00 90.00 90.00°
Element x y z (fractional)
Na  0.000  0.000  0.000
Pm  0.000  0.000  0.500
Dy  0.500  0.500  0.267
Dy  0.500  0.500  0.733

***

# 15
Here is SiBr2F after structural relaxation from Alexandria via LeMat-Bulk. Energies are from PBE.

Properties
V in Å³ per atom: 35.7
E_form (uncorrected) in eV per formula unit: -4.8
Energy relative to the lowest polymorph listed for this composition in eV/atom: 0.245

Cell: 6.647 6.647 5.128 Å, 101.24 101.24 40.17°
Element x y z (fractional)
Si  0.000  0.000  0.000
Br  0.527  0.527  0.191
Br  0.831  0.831  0.746
F  0.082  0.082  0.793

***

# 16
Here is CaZnInIr after structural relaxation from Alexandria via LeMat-Bulk. Energies are from PBE.

Properties
Formation energy from the elements in eV/atom: -0.207
V in Å³ per atom: 18.8
Energy relative to the lowest polymorph listed for this composition in eV/atom: 0.096

Cell: 4.741 4.741 4.741 Å, 60.00 60.00 60.00°
Element x y z (fractional)
Ca  0.000  0.000  0.000
Zn  0.250  0.250  0.250
In  0.750  0.750  0.750
Ir  0.500  0.500  0.500

***

# 17
Here is Ba3HgO after structural relaxation from Alexandria via LeMat-Bulk. Energies are from PBE.

Properties
V in Å³ per atom: 41.6
E_form (uncorrected) in eV per formula unit: -5.7
Energy relative to the lowest polymorph listed for this composition in eV/atom: 0.011

Cell: 8.990 8.990 5.345 Å, 90.69 90.69 74.14°
Element x y z (fractional)
Ba  0.103  0.103  0.291
Ba  0.184  0.582  0.277
Ba  0.418  0.816  0.723
Ba  0.582  0.184  0.277
Ba  0.816  0.418  0.723
Ba  0.897  0.897  0.709
Hg  0.282  0.282  0.760
Hg  0.718  0.718  0.240
O  0.164  0.836  0.500
O  0.836  0.164  0.500